Entry 1:
First-principles (PBE) data for a relaxed structure of Li2ScRe, as listed in Alexandria via LeMat-Bulk.

Energy of formation (eV/atom): 0.420
Energy (eV per atom): -5.231
Crystal system: trigonal
Size of the total moment (μB/cell): 1.2
Offset from the most stable computed form (eV per atom): 0.233
DOS at the Fermi energy (states/eV/cell): 12.5

a b c (Å): 2.7889 2.7889 30.3901
angles (deg): 90.00 90.00 120.00
Space group R-3m (No. 166, hexagonal axes)
Symmetry-distinct sites (fractional):
1 Li 0.0000 0.0000 0.2421 [6 per cell]
2 Sc 0.0000 0.0000 0.0000 [3 per cell]
3 Re 0.0000 0.0000 0.5000 [3 per cell]

***

Entry 2:
First-principles (PBE) data for a relaxed structure of Li2ScRe, as listed in Alexandria via LeMat-Bulk.

Energy of formation (eV/atom): 0.267
Energy (eV per atom): -5.385
Crystal system: monoclinic
Size of the total moment (μB/cell): 0.0
Offset from the most stable computed form (eV per atom): 0.079
DOS at the Fermi energy (states/eV/cell): 3.0

a b c (Å): 2.671 4.333 5.954
angles (deg): 90.00 101.41 90.00
Space group Pm (No. 6)
Symmetry-distinct sites (fractional):
1 Li 0.000 0.000 0.000 [1 per cell]
2 Li 0.308 0.500 0.226 [1 per cell]
3 Sc 0.416 0.500 0.691 [1 per cell]
4 Re 0.831 0.000 0.474 [1 per cell]

***

Entry 3:
First-principles (PBE) data for a relaxed structure of LiScRe, as listed in Alexandria via LeMat-Bulk.

Energy of formation (eV/atom): 0.311
Energy (eV per atom): -6.587
Crystal system: tetragonal
Size of the total moment (μB/cell): 0.0
Offset from the most stable computed form (eV per atom): 0.114
DOS at the Fermi energy (states/eV/cell): 6.5

a b c (Å): 2.714 2.714 14.075
angles (deg): 90.00 90.00 90.00
Space group I4mm (No. 107)
Symmetry-distinct sites (fractional):
1 Li 0.000 0.000 0.000 [2 per cell]
2 Sc 0.000 0.000 0.690 [2 per cell]
3 Re 0.000 0.000 0.347 [2 per cell]

***

Entry 4:
First-principles (PBE) data for a relaxed structure of LiSc4Re, as listed in Alexandria via LeMat-Bulk.

Energy of formation (eV/atom): 0.669
Energy (eV per atom): -5.946
Crystal system: cubic
Size of the total moment (μB/cell): 0.0
DOS at the Fermi energy (states/eV/cell): 23.8

a b c (Å): 7.911 7.911 7.911
angles (deg): 90.00 90.00 90.00
Space group F-43m (No. 216)
Symmetry-distinct sites (fractional):
1 Li 0.000 0.000 0.000 [4 per cell]
2 Sc 0.122 0.122 0.378 [16 per cell]
3 Re 0.250 0.250 0.750 [4 per cell]

***

Entry 5:
First-principles (PBE) data for a relaxed structure of Li2ScRe, as listed in Alexandria via LeMat-Bulk.

Energy of formation (eV/atom): 0.508
Energy (eV per atom): -5.143
Crystal system: cubic
Size of the total moment (μB/cell): 2.5
Offset from the most stable computed form (eV per atom): 0.321
DOS at the Fermi energy (states/eV/cell): 10.9

a b c (Å): 6.234 6.234 6.234
angles (deg): 90.00 90.00 90.00
Space group Fm-3m (No. 225)
Symmetry-distinct sites (fractional):
1 Li 0.250 0.250 0.250 [8 per cell]
2 Sc 0.000 0.000 0.000 [4 per cell]
3 Re 0.000 0.000 0.500 [4 per cell]

***

Entry 6:
First-principles (PBE) data for a relaxed structure of Li2ScRe, as listed in Alexandria via LeMat-Bulk.

Energy of formation (eV/atom): 0.436
Energy (eV per atom): -5.215
Crystal system: tetragonal
Size of the total moment (μB/cell): 0.0
Offset from the most stable computed form (eV per atom): 0.249
DOS at the Fermi energy (states/eV/cell): 3.3

a b c (Å): 3.883 3.883 4.267
angles (deg): 90.00 90.00 90.00
Space group P4/mmm (No. 123)
Symmetry-distinct sites (fractional):
1 Li 0.000 0.500 0.000 [2 per cell]
2 Sc 0.000 0.000 0.500 [1 per cell]
3 Re 0.500 0.500 0.500 [1 per cell]